32
Lattice="5.3659 0.0000 0.0000 0.0000 7.1485 0.0000 0.0000 0.0000 15.6264" Properties=species:S:1:pos:R:3 comment="Sc3Ga3Pt2, optimized geometry, DFT PBE" n_ef_per_ev_atom=0.53 e_form_ev_per_atom=-0.874 pbc="T T T"
Pt 4.7582 0.7627 1.8768
Sc 4.7534 3.8134 9.5719
Ga 4.7792 5.8099 7.3896
Sc 0.6125 3.3351 1.7587
Ga 3.2697 2.2356 0.4236
Sc 4.7534 3.8134 13.8677
Sc 2.0705 6.9093 6.0545
Ga 4.4618 5.8773 11.7198
Sc 0.8203 1.1906 11.7198
Pt 2.0752 2.8116 9.6900
Ga 3.5871 2.3030 11.7198
Pt 4.7582 0.7627 5.9364
Pt 0.6078 6.3858 13.7496
Sc 3.5033 2.3837 3.9066
Sc 4.5456 5.9579 3.9066
Ga 2.0962 4.9129 8.2368
Ga 1.7788 4.8455 3.9066
Sc 1.8627 4.7648 11.7198
Ga 4.7792 5.8099 0.4236
Sc 3.2955 0.2392 13.8677
Sc 3.2955 0.2392 9.5719
Ga 2.0962 4.9129 15.2028
Ga 0.5867 1.3386 15.2028
Ga 0.9041 1.2712 3.9066
Sc 2.0705 6.9093 1.7587
Ga 0.5867 1.3386 8.2368
Pt 2.0752 2.8116 13.7496
Ga 3.2697 2.2356 7.3896
Pt 3.2907 4.3369 5.9364
Pt 3.2907 4.3369 1.8768
Pt 0.6078 6.3858 9.6900
Sc 0.6125 3.3351 6.0545


12
Lattice="-1.1874 5.1383 5.8929 -6.9416 -2.8494 2.4968 1.8439 -4.5187 7.5039" Properties=species:S:1:pos:R:3 comment="Ba3AgPb2, optimized geometry, DFT PBE" n_ef_per_ev_atom=0.53 e_form_ev_per_atom=-0.370 pbc="T T T"
Ba -0.1495 -1.5102 5.6595
Ba -1.8644 -1.1103 10.3051
Pb -3.6425 1.8863 9.2661
Ba -4.5454 -2.0514 14.3805
Pb -0.8504 1.9109 4.4775
Ba -6.1356 -0.7196 10.2342
Ba -1.7397 -0.1784 1.5131
Ag -3.7294 -3.6992 9.2044
Ba -4.4207 -1.1196 5.5886
Ag -2.5557 1.4693 6.6893
Pb -2.6426 -4.1161 6.6276
Pb -5.4347 -4.1407 11.4162


5
Lattice="-4.3746 -1.1976 0.6005 0.9234 -4.1811 -1.6118 0.9707 -1.4199 4.2395" Properties=species:S:1:pos:R:3 comment="HfGaPd3, optimized geometry, DFT PBE" n_ef_per_ev_atom=0.88 de_polymorph_mev_per_atom=692.9 e_form_ev_per_atom=0.060 pbc="T T T"
Pd 0.4617 -2.0906 -0.8059
Hf -1.2403 -3.3993 1.6142
Ga 0.0000 0.0000 0.0000
Pd -2.1873 -0.5988 0.3003
Pd 0.4854 -0.7100 2.1198


7
Lattice="-2.7227 2.1835 1.9222 -4.0575 -3.4114 2.2573 0.9817 -0.2248 5.7754" Properties=species:S:1:pos:R:3 comment="Tb2Ga2Co2C, optimized geometry, DFT PBE" n_ef_per_ev_atom=0.53 e_form_ev_per_atom=-0.515 pbc="T T T"
Co -2.4823 -2.1793 7.2185
C 0.0000 0.0000 0.0000
Ga -4.0753 -0.4246 7.0984
Tb -4.2729 -1.8943 4.3585
Tb -1.5257 0.4416 5.5964
Ga -1.7233 -1.0281 2.8565
Co -3.3162 0.7266 2.7364